A.
DFT (PBE) results for crystalline NiAg2 at its relaxed geometry.

Properties
D(E_F) in states/eV/cell: 12.12

```
data_NiAg2
_symmetry_space_group_name_H-M 'I 41/a m d'
_symmetry_Int_Tables_number 141
_cell_length_a 2.7710
_cell_length_b 2.7710
_cell_length_c 25.1829
_cell_angle_alpha 90.00
_cell_angle_beta 90.00
_cell_angle_gamma 90.00
loop_
_symmetry_equiv_pos_as_xyz
'x,y,z'
'-x,-y,-z'
'-y+1/4,x+3/4,z+1/4'
'y+1/4,-x+3/4,-z+1/4'
'-x+1/2,-y,z+1/2'
'x+1/2,y,-z+1/2'
'y+1/4,-x+1/4,z+3/4'
'-y+1/4,x+1/4,-z+3/4'
'x,-y,-z'
'-x,y,z'
'-y+1/4,-x+1/4,-z+3/4'
'y+1/4,x+1/4,z+3/4'
'-x+1/2,y,-z+1/2'
'x+1/2,-y,z+1/2'
'y+1/4,x+3/4,-z+1/4'
'-y+1/4,-x+3/4,z+1/4'
'x+1/2,y+1/2,z+1/2'
'-x+1/2,-y+1/2,-z+1/2'
'-y+3/4,x+1/4,z+3/4'
'y+3/4,-x+1/4,-z+3/4'
'-x,-y+1/2,z'
'x,y+1/2,-z'
'y+3/4,-x+3/4,z+1/4'
'-y+3/4,x+3/4,-z+1/4'
'x+1/2,-y+1/2,-z+1/2'
'-x+1/2,y+1/2,z+1/2'
'-y+3/4,-x+3/4,-z+1/4'
'y+3/4,x+3/4,z+1/4'
'-x,y+1/2,-z'
'x,-y+1/2,z'
'y+3/4,x+1/4,-z+3/4'
'-y+3/4,-x+1/4,z+3/4'
loop_
_atom_site_label
_atom_site_fract_x
_atom_site_fract_y
_atom_site_fract_z
Ni1 0.0000 0.2500 0.3750
Ag1 0.0000 0.2500 0.8004
```


B.
DFT (PBE) results for crystalline NiAg2 at its relaxed geometry.

Properties
D(E_F) in states/eV/cell: 16.75

```
data_NiAg2
_symmetry_space_group_name_H-M 'P 63/m m c'
_symmetry_Int_Tables_number 194
_symmetry_space_group_name_Hall '-P 6c 2c'
_cell_length_a 5.2931
_cell_length_b 5.2931
_cell_length_c 8.8333
_cell_angle_alpha 90.00
_cell_angle_beta 90.00
_cell_angle_gamma 120.00
loop_
_atom_site_label
_atom_site_fract_x
_atom_site_fract_y
_atom_site_fract_z
Ni1 0.3333 0.6667 0.0212
Ag1 0.0000 0.0000 0.0000
Ag2 0.1700 0.3400 0.7500
```


Among the structures shown above, A is the most stable, with the second-best lying 0.340 eV/atom higher.